[1]
First-principles (PBE) data for a relaxed K2LaPb crystal, as listed in Alexandria.

It has space group I4/mmm (No. 139), with a = 4.935 Å, b = 4.935 Å, c = 12.977 Å, α = 90.00°, β = 90.00° and γ = 90.00°. The inequivalent atoms are K at (0.000, 0.500, 0.250), La at (0.000, 0.000, 0.000) and Pb at (0.000, 0.000, 0.500).

For the formation energy, the calculation gives -0.0109 eV/atom.

---

[2]
First-principles (PBE) data for a relaxed La2Pr8Tl crystal, as listed in Alexandria.

It has space group Immm (No. 71), with a = 5.738 Å, b = 7.803 Å, c = 17.830 Å, α = 90.00°, β = 90.00° and γ = 90.00°. The inequivalent atoms are La at (0.000, 0.000, 0.192), Pr at (0.000, 0.242, 0.000), Pr at (0.000, 0.273, 0.364), Pr at (0.000, 0.500, 0.175) and Tl at (0.000, 0.000, 0.500).

For the formation energy, the calculation gives 0.0179 eV/atom. Its energy above the most stable polymorph in this dataset is 0.061 eV/atom.

---

[3]
First-principles (PBE) data for a relaxed SrHo4ScS8 crystal, as listed in Alexandria.

It has space group R3m (No. 160, hexagonal axes), with a = 8.1160 Å, b = 8.1160 Å, c = 19.4646 Å, α = 90.00°, β = 90.00° and γ = 120.00°. The inequivalent atoms are Sr at (0.0000, 0.0000, 0.0000), Ho at (0.0000, 0.0000, 0.7554), Ho at (0.0057, 0.5028, 0.8794), Sc at (0.0000, 0.0000, 0.3763), S at (0.0000, 0.0000, 0.1419), S at (0.0000, 0.0000, 0.6215), S at (0.0250, 0.5125, 0.1293) and S at (0.1894, 0.3789, 0.9609).

Its uncorrected formation energy is -1.958 eV/atom.

---

[4]
First-principles (PBE) data for a relaxed SmAlZnPt2 crystal, as listed in Alexandria.

It has space group I-4m2 (No. 119), with a = 3.980 Å, b = 3.980 Å, c = 12.036 Å, α = 90.00°, β = 90.00° and γ = 90.00°. The inequivalent atoms are Sm at (0.000, 0.000, 0.000), Al at (0.000, 0.500, 0.250), Zn at (0.000, 0.500, 0.750) and Pt at (0.000, 0.000, 0.386).

For the formation energy, the calculation gives -0.9552 eV/atom.

---

Table of Fermi-level density of states (states/eV/f.u.), in record order: 1.28; 15.76; 3.81; 2.50